Computed, not measured: a geometry-optimized KRbNa3Hg structure at the GGA-PBE level of DFT.

Output
**Calculated density**: 2.34 g cm⁻³
**Spin magnetization**: 0.0 Bohr magnetons per cell
**Space-group type**: C2/m (12)
**Formation energy from the elements**: -0.06 eV per atom
**Calculated total energy**: -13.35 eV for the cell shown

```
data_KRbNa3Hg
_space_group_name_H-M_alt 'P 1'
_space_group_IT_number 1
_space_group_name_Hall 'P 1'
_cell_length_a 8.924
_cell_length_b 8.924
_cell_length_c 14.564
_cell_angle_alpha 96.29
_cell_angle_beta 96.29
_cell_angle_gamma 28.98
loop_
_atom_site_label
_atom_site_type_symbol
_atom_site_fract_x
_atom_site_fract_y
_atom_site_fract_z
K1 K 0.136 0.136 0.015
K2 K 0.864 0.864 0.985
Rb1 Rb 0.133 0.133 0.520
Rb2 Rb 0.867 0.867 0.480
Na1 Na 0.005 0.005 0.261
Na2 Na 0.330 0.330 0.746
Na3 Na 0.340 0.340 0.219
Na4 Na 0.660 0.660 0.781
Na5 Na 0.670 0.670 0.254
Na6 Na 0.995 0.995 0.739
Hg1 Hg 0.498 0.498 0.893
Hg2 Hg 0.502 0.502 0.107
```